Entry 1:
A plane-wave DFT calculation with PBE was carried out for an optimized crystal structure of LiGeB.

energy relative to the elements	0.60	eV/atom

abc: 4.235 4.235 11.811
angles: 90.00 90.00 90.00
Element x y z (fractional)
B 0.648 0.352 0.125
B 0.352 0.352 0.875
B 0.648 0.648 0.375
B 0.352 0.648 0.625
Ge 0.087 0.500 0.750
Ge 0.913 0.500 0.250
Ge 0.500 0.087 0.000
Ge 0.500 0.913 0.500
Li 0.629 0.000 0.750
Li 0.000 0.371 0.500
Li 0.000 0.629 0.000
Li 0.371 0.000 0.250


Entry 2:
A plane-wave DFT calculation with PBE was carried out for an optimized crystal structure of LiTaBr4.

formation energy without anion corrections	965.0	meV/atom

abc: 6.275 6.275 6.275
angles: 60.00 60.00 60.00
Each line ends with the local moment (μB).
Element x y z (fractional)
Br 0.374 0.374 0.877  0.07
Br 0.877 0.374 0.374  0.07
Br 0.374 0.374 0.374  0.07
Br 0.374 0.877 0.374  0.07
Ta 0.000 0.000 0.000  2.24
Li 0.750 0.750 0.750  0.02


Entry 3:
A plane-wave DFT calculation with PBE was carried out for an optimized crystal structure of Tc2IrN.

formation energy without anion corrections	61.3	meV/atom

abc: 2.780 2.780 7.475
angles: 79.28 79.28 60.00
Element x y z (fractional)
Tc 0.268 0.268 0.195
Tc 0.066 0.066 0.802
Ir 0.501 0.501 0.496
N 0.665 0.665 0.006


Going through the records in order, we get M_tot values of 0.000 0.664 0.000 μB per atom.